Entry 1
An optimized crystal structure of Tl3Cd3Hg4. Source: the Alexandria database, functional PBE.

The structure belongs to space group Amm2 (No. 38); the cell edges are 4.530, 11.379 and 10.927 Å and the angles 90.00°, 90.00° and 90.00°. The asymmetric unit holds Tl at (0.000, 0.000, 0.000), Tl at (0.000, 0.163, 0.359), Cd at (0.000, 0.000, 0.684), Cd at (0.500, 0.234, 0.078), Hg at (0.500, 0.000, 0.212), Hg at (0.500, 0.000, 0.507) and Hg at (0.500, 0.138, 0.817).

The calculation puts the volume at 28.16 Å³ per atom. The density of states at the Fermi level comes out at 7.1 states/eV/cell.

=====

Entry 2
An optimized crystal structure of Tl3Cd3Hg4. Source: the Alexandria database, functional PBE.

The structure belongs to space group I-43d (No. 220); the cell edges are 10.418, 10.418 and 10.418 Å and the angles 90.00°, 90.00° and 90.00°. The asymmetric unit holds Tl at (0.000, 0.250, 0.875), Cd at (0.000, 0.250, 0.375) and Hg at (0.106, 0.394, 0.606).

The calculation puts the volume at 28.27 Å³ per atom. The density of states at the Fermi level comes out at 13.5 states/eV/cell.

=====

Least stable: entry 2

=====

Entry 1
An optimized crystal structure of Tl3CdHg2. Source: the Alexandria database, functional PBE.

The structure belongs to space group Cmmm (No. 65); the cell edges are 5.848, 16.605 and 3.496 Å and the angles 90.00°, 90.00° and 90.00°. The asymmetric unit holds Tl at (0.000, 0.000, 0.000), Tl at (0.000, 0.181, 0.500), Cd at (0.000, 0.500, 0.500) and Hg at (0.000, 0.349, 0.000).

The calculation puts the volume at 28.29 Å³ per atom. The density of states at the Fermi level comes out at 5.5 states/eV/cell.

=====

Entry 2
An optimized crystal structure of Tl3CdHg2. Source: the Alexandria database, functional PBE.

The structure belongs to space group C2/m (No. 12); the cell edges are 18.084, 3.422 and 13.061 Å and the angles 90.00°, 120.44° and 90.00°. The asymmetric unit holds Tl at (0.040, 0.000, 0.150), Tl at (0.171, 0.500, 0.067), Tl at (0.249, 0.000, 0.630), Cd at (0.085, 0.500, 0.620), Hg at (0.085, 0.500, 0.390) and Hg at (0.131, 0.000, 0.834).

The calculation puts the volume at 29.03 Å³ per atom. The density of states at the Fermi level comes out at 6.5 states/eV/cell.

=====

Least stable: entry 2

=====

Entry 1
An optimized crystal structure of Tl5Cd4Hg2. Source: the Alexandria database, functional PBE.

The structure belongs to space group Immm (No. 71); the cell edges are 3.221, 8.974 and 21.918 Å and the angles 90.00°, 90.00° and 90.00°. The asymmetric unit holds Tl at (0.000, 0.000, 0.000), Tl at (0.000, 0.310, 0.355), Cd at (0.000, 0.189, 0.500), Cd at (0.000, 0.500, 0.093) and Hg at (0.000, 0.500, 0.230).

The calculation puts the volume at 28.80 Å³ per atom. The density of states at the Fermi level comes out at 7.8 states/eV/cell.

=====

Entry 2
An optimized crystal structure of Tl5Cd4Hg2. Source: the Alexandria database, functional PBE.

The structure belongs to space group C2/m (No. 12); the cell edges are 22.761, 3.220 and 8.748 Å and the angles 90.00°, 92.08° and 90.00°. The asymmetric unit holds Tl at (0.000, 0.000, 0.000), Tl at (0.126, 0.500, 0.578), Tl at (0.174, 0.500, 0.960), Cd at (0.004, 0.500, 0.330), Cd at (0.113, 0.000, 0.241) and Hg at (0.239, 0.000, 0.327).

The calculation puts the volume at 29.13 Å³ per atom. The density of states at the Fermi level comes out at 9.1 states/eV/cell.

=====

Least stable: entry 2

=====

Entry 1
An optimized crystal structure of TlCd4Hg4. Source: the Alexandria database, functional PBE.

The structure belongs to space group I4/mmm (No. 139); the cell edges are 10.025, 10.025 and 4.516 Å and the angles 90.00°, 90.00° and 90.00°. The asymmetric unit holds Tl at (0.000, 0.000, 0.000), Cd at (0.000, 0.339, 0.000) and Hg at (0.172, 0.172, 0.500).

The calculation puts the volume at 25.21 Å³ per atom. The density of states at the Fermi level comes out at 5.0 states/eV/cell.

=====

Entry 2
An optimized crystal structure of TlCd4Hg4. Source: the Alexandria database, functional PBE.

The structure belongs to space group P4_2/nmc (No. 137, origin choice 2); the cell edges are 6.824, 6.824 and 10.216 Å and the angles 90.00°, 90.00° and 90.00°. The asymmetric unit holds Tl at (0.250, 0.750, 0.250), Cd at (0.034, 0.250, 0.180) and Hg at (0.010, 0.250, 0.472).

The calculation puts the volume at 26.43 Å³ per atom. The density of states at the Fermi level comes out at 4.0 states/eV/cell.

=====

Least stable: entry 2

=====

Entry 1
An optimized crystal structure of Tl8CdHg2. Source: the Alexandria database, functional PBE.

The structure belongs to space group C2/m (No. 12); the cell edges are 13.303, 9.991 and 5.560 Å and the angles 90.00°, 103.71° and 90.00°. The asymmetric unit holds Tl at (0.081, 0.229, 0.295), Tl at (0.108, 0.000, 0.815), Tl at (0.243, 0.500, 0.599), Cd at (0.000, 0.500, 0.500) and Hg at (0.129, 0.500, 0.025).

The calculation puts the volume at 32.63 Å³ per atom. The density of states at the Fermi level comes out at 10.2 states/eV/cell.

=====

Entry 2
An optimized crystal structure of Tl8CdHg2. Source: the Alexandria database, functional PBE.

The structure belongs to space group Immm (No. 71); the cell edges are 5.002, 9.157 and 14.489 Å and the angles 90.00°, 90.00° and 90.00°. The asymmetric unit holds Tl at (0.000, 0.000, 0.141), Tl at (0.000, 0.221, 0.342), Tl at (0.000, 0.314, 0.000), Cd at (0.000, 0.500, 0.500) and Hg at (0.000, 0.500, 0.198).

The calculation puts the volume at 30.17 Å³ per atom. The density of states at the Fermi level comes out at 10.0 states/eV/cell.

=====

Least stable: entry 1

=====

Entry 1
An optimized crystal structure of TlCd2Hg3. Source: the Alexandria database, functional PBE.

The structure belongs to space group C2/c (No. 15); the cell edges are 8.218, 10.358 and 7.733 Å and the angles 90.00°, 99.02° and 90.00°. The asymmetric unit holds Tl at (0.000, 0.007, 0.250), Cd at (0.138, 0.276, 0.637), Hg at (0.000, 0.317, 0.250) and Hg at (0.195, 0.437, 0.966).

The calculation puts the volume at 27.09 Å³ per atom. The density of states at the Fermi level comes out at 6.8 states/eV/cell.

=====

Entry 2
An optimized crystal structure of TlCd2Hg3. Source: the Alexandria database, functional PBE.

The structure belongs to space group Pmc2_1 (No. 26); the cell edges are 4.238, 11.149 and 6.637 Å and the angles 90.00°, 90.00° and 90.00°. The asymmetric unit holds Tl at (0.000, 0.003, 0.000), Cd at (0.000, 0.342, 0.999), Cd at (0.500, 0.499, 0.749), Hg at (0.000, 0.357, 0.498), Hg at (0.500, 0.190, 0.253) and Hg at (0.500, 0.190, 0.746).

The calculation puts the volume at 26.13 Å³ per atom. The density of states at the Fermi level comes out at 2.6 states/eV/cell.

=====

Least stable: entry 1

=====

Entry 1
An optimized crystal structure of TlCd6Hg. Source: the Alexandria database, functional PBE.

The structure belongs to space group Amm2 (No. 38); the cell edges are 4.620, 9.108 and 9.161 Å and the angles 90.00°, 90.00° and 90.00°. The asymmetric unit holds Tl at (0.000, 0.000, 0.000), Cd at (0.000, 0.000, 0.497), Cd at (0.000, 0.249, 0.250), Cd at (0.500, 0.000, 0.256), Cd at (0.500, 0.243, 0.499) and Hg at (0.500, 0.000, 0.740).

The calculation puts the volume at 24.09 Å³ per atom. The density of states at the Fermi level comes out at 5.7 states/eV/cell.

=====

Entry 2
An optimized crystal structure of TlCd6Hg. Source: the Alexandria database, functional PBE.

The structure belongs to space group P4/mmm (No. 123); the cell edges are 4.574, 4.574 and 9.137 Å and the angles 90.00°, 90.00° and 90.00°. The asymmetric unit holds Tl at (0.000, 0.000, 0.000), Cd at (0.000, 0.500, 0.259), Cd at (0.500, 0.500, 0.000), Cd at (0.500, 0.500, 0.500) and Hg at (0.000, 0.000, 0.500).

The calculation puts the volume at 23.90 Å³ per atom. The density of states at the Fermi level comes out at 3.4 states/eV/cell.

=====

Least stable: entry 2

=====

Entry 1
An optimized crystal structure of Tl2Cd5Hg5. Source: the Alexandria database, functional PBE.

The structure belongs to space group C2/m (No. 12); the cell edges are 15.688, 3.478 and 11.749 Å and the angles 90.00°, 102.78° and 90.00°. The asymmetric unit holds Tl at (0.117, 0.000, 0.286), Cd at (0.000, 0.000, 0.500), Cd at (0.164, 0.000, 0.015), Cd at (0.225, 0.000, 0.783), Hg at (0.000, 0.500, 0.000), Hg at (0.060, 0.500, 0.759) and Hg at (0.173, 0.500, 0.546).

The calculation puts the volume at 26.05 Å³ per atom. The density of states at the Fermi level comes out at 5.1 states/eV/cell.

=====

Entry 2
An optimized crystal structure of Tl2Cd5Hg5. Source: the Alexandria database, functional PBE.

The structure belongs to space group Pmmm (No. 47); the cell edges are 4.769, 6.654 and 10.363 Å and the angles 90.00°, 90.00° and 90.00°. The asymmetric unit holds Tl at (0.000, 0.000, 0.000), Tl at (0.000, 0.500, 0.500), Cd at (0.000, 0.000, 0.327), Cd at (0.000, 0.500, 0.172), Cd at (0.500, 0.000, 0.500), Hg at (0.500, 0.255, 0.258) and Hg at (0.500, 0.500, 0.000).

The calculation puts the volume at 27.41 Å³ per atom. The density of states at the Fermi level comes out at 3.6 states/eV/cell.

=====

Least stable: entry 2

=====

Entry 1
An optimized crystal structure of Tl2Cd5Hg12. Source: the Alexandria database, functional PBE.

The structure belongs to space group C2/m (No. 12); the cell edges are 20.214, 7.096 and 7.302 Å and the angles 90.00°, 99.61° and 90.00°. The asymmetric unit holds Tl at (0.000, 0.236, 0.000), Cd at (0.000, 0.000, 0.500), Cd at (0.169, 0.000, 0.955), Cd at (0.172, 0.500, 0.004), Hg at (0.091, 0.500, 0.316), Hg at (0.092, 0.283, 0.682), Hg at (0.121, 0.000, 0.322) and Hg at (0.248, 0.256, 0.701).

The calculation puts the volume at 27.18 Å³ per atom. The density of states at the Fermi level comes out at 10.9 states/eV/cell.

=====

Entry 2
An optimized crystal structure of Tl2Cd5Hg12. Source: the Alexandria database, functional PBE.

The structure belongs to space group C2/m (No. 12); the cell edges are 16.453, 6.665 and 10.079 Å and the angles 90.00°, 101.63° and 90.00°. The asymmetric unit holds Tl at (0.000, 0.244, 0.000), Cd at (0.000, 0.000, 0.500), Cd at (0.137, 0.500, 0.878), Cd at (0.203, 0.500, 0.394), Hg at (0.021, 0.500, 0.330), Hg at (0.094, 0.000, 0.284), Hg at (0.145, 0.253, 0.619) and Hg at (0.205, 0.252, 0.129).

The calculation puts the volume at 28.49 Å³ per atom. The density of states at the Fermi level comes out at 13.8 states/eV/cell.

=====

Least stable: entry 2